Material: CaLaCrFeO6
Method: DFT, PBE with a Hubbard U
State: optimized geometry

The structure in POSCAR format:
```
CaLaCrFeO6
1.0
5.5008 0.0000 0.0000
0.0000 5.5367 0.0000
-5.4646 0.0000 7.7241
Ca La Cr Fe O
2 2 2 2 12
direct
0.0000 0.2087 0.0000
0.0000 0.7913 0.5000
0.5208 0.2820 0.5019
0.5208 0.7180 0.0019
0.2623 0.2491 0.7513
0.2623 0.7509 0.2513
0.7616 0.2503 0.2503
0.7616 0.7497 0.7503
0.0146 0.4704 0.2086
0.0146 0.5296 0.7086
0.0879 0.2312 0.5062
0.0879 0.7688 0.0062
0.4246 0.2651 0.9937
0.4246 0.7349 0.4937
0.5081 0.0266 0.2877
0.5081 0.9734 0.7877
0.5921 0.4622 0.7941
0.5921 0.5378 0.2941
0.9374 0.0332 0.7098
0.9374 0.9668 0.2098
```

Calculated values
* space-group type: Pc
* VASP energy: -7.367 eV/atom